A plane-wave DFT calculation with PBE was carried out for an optimized crystal structure of RbIrRu.

a b c (Å): 8.2981 4.3625 7.8144
angles (deg): 90.00 90.00 90.00
Closest atoms and distances in Å follow each position.
Space group Pnma (No. 62)
One atom of each set of equivalent atoms:
Rb 0.0028 0.2500 0.1515 x4  2 Rb 3.22, 4 Ru 3.29-3.50, 4 Ir 3.30-3.51
Ir 0.1464 0.2500 0.5735 x4  3 Ru 2.41-2.46
Ru 0.1442 0.7500 0.4283 x4  3 Ir 2.41-2.46

***

A plane-wave DFT calculation with PBE was carried out for an optimized crystal structure of As2Se.

Properties
**Raw formation energy**: 207 meV/atom

a b c (Å): 3.7328 10.4214 4.8261
angles (deg): 90.00 90.00 90.00
Closest atoms and distances in Å follow each position.
Space group Pnnm (No. 58)
One atom of each set of equivalent atoms:
As 0.2498 0.0792 0.0000 x4  2 As 2.49, 2 Se 2.72
Se 0.0000 0.0000 0.5000 x2  4 As 2.72

***

no.,E above lowest polymorph (meV per atom)
1,301.7
2,169.6